Bi5O7F (meta-GGA SCAN, single point on PBEsol structure); formation energy from raw total energies = -15.81 eV per formula unit; DOS(E_F) = 0.000 states/eV/atom; ρ = 8.64 g cm⁻³; polymorph energy (0 for the lowest one) = 0.025 eV/atom; space-group type = No. 12
1.0
3.978 0.000 0.000
-1.989 9.736 -0.822
0.000 -5.685 12.156
O F Bi
14 2 10
Direct
0.325 0.649 0.332
0.782 0.565 0.458
0.269 0.537 0.920
0.731 0.463 0.080
0.675 0.351 0.668
0.628 0.256 0.241
0.075 0.150 0.335
0.827 0.654 0.860
0.925 0.850 0.665
0.372 0.744 0.759
0.452 0.904 0.567
0.173 0.346 0.140
0.548 0.096 0.433
0.218 0.435 0.542
0.046 0.092 0.912
0.954 0.908 0.088
0.386 0.772 0.933
0.614 0.228 0.067
0.100 0.200 0.522
0.479 0.957 0.743
0.900 0.800 0.478
0.289 0.578 0.155
0.711 0.422 0.845
0.211 0.422 0.356
0.789 0.578 0.644
0.521 0.043 0.257